# 1
This record from the Alexandria database describes LiSiRu4 after structural relaxation. The functional is GGA-PBE.

Results
Theoretical density: 7.979 g cm⁻³
VASP energy: -6.90 eV per atom

Cell lengths 5.0567, 5.0567, 5.0567 Å; angles 60.00, 60.00, 60.00 degrees
Atoms (fractional coordinates):
Li1 0.0000 0.0000 0.0000
Si1 0.2500 0.2500 0.2500
Ru1 0.1258 0.6247 0.6247
Ru2 0.6247 0.1258 0.6247
Ru3 0.6247 0.6247 0.1258
Ru4 0.6247 0.6247 0.6247

# 2
This record from the Alexandria database describes Li2Si2Ru after structural relaxation. The functional is GGA-PBE.

Results
E above lowest polymorph: 0 meV per atom
Theoretical density: 3.767 g cm⁻³
VASP energy: -5.11 eV per atom

Cell lengths 8.5507, 6.1366, 5.7500 Å; angles 90.00, 90.64, 90.00 degrees
Atoms (fractional coordinates):
Li1 0.0092 0.2391 0.4952
Li2 0.0092 0.2609 0.9952
Li3 0.2533 0.5957 0.2893
Li4 0.2533 0.9043 0.7893
Li5 0.7467 0.0957 0.2107
Li6 0.7467 0.4043 0.7107
Li7 0.9908 0.7391 0.0048
Li8 0.9908 0.7609 0.5048
Si1 0.1898 0.0277 0.2377
Si2 0.1898 0.4723 0.7377
Si3 0.4526 0.5633 0.7026
Si4 0.4526 0.9367 0.2026
Si5 0.5474 0.0633 0.7974
Si6 0.5474 0.4367 0.2974
Si7 0.8102 0.5277 0.2623
Si8 0.8102 0.9723 0.7623
Ru1 0.3763 0.2145 0.5106
Ru2 0.3763 0.2855 0.0106
Ru3 0.6237 0.7145 0.9894
Ru4 0.6237 0.7855 0.4894

# 3
This record from the Alexandria database describes LiSi4Ru after structural relaxation. The functional is GGA-PBE.

Results
Theoretical density: 4.380 g cm⁻³
VASP energy: -5.20 eV per atom

Cell lengths 4.9069, 4.9069, 4.9069 Å; angles 60.00, 60.00, 60.00 degrees
Atoms (fractional coordinates):
Li1 0.0000 0.0000 0.0000
Si1 0.1243 0.6252 0.6252
Si2 0.6252 0.1243 0.6252
Si3 0.6252 0.6252 0.1243
Si4 0.6252 0.6252 0.6252
Ru1 0.2500 0.2500 0.2500

# 4
This record from the Alexandria database describes LiSi2Ru2 after structural relaxation. The functional is GGA-PBE.

Results
Theoretical density: 5.946 g cm⁻³
VASP energy: -6.51 eV per atom

Cell lengths 3.5635, 3.5635, 11.6674 Å; angles 90.00, 90.00, 90.00 degrees
Atoms (fractional coordinates):
Li1 0.0000 0.0000 0.0000
Li2 0.5000 0.5000 0.5000
Si1 0.0000 0.5000 0.2500
Si2 0.0000 0.5000 0.7500
Si3 0.5000 0.0000 0.2500
Si4 0.5000 0.0000 0.7500
Ru1 0.0000 0.0000 0.3862
Ru2 0.0000 0.0000 0.6138
Ru3 0.5000 0.5000 0.1138
Ru4 0.5000 0.5000 0.8862

# 5
This record from the Alexandria database describes LiSi2Ru2 after structural relaxation. The functional is GGA-PBE.

Results
Theoretical density: 5.534 g cm⁻³
VASP energy: -6.67 eV per atom

Cell lengths 4.0566, 4.0566, 9.6737 Å; angles 90.00, 90.00, 90.00 degrees
Atoms (fractional coordinates):
Li1 0.0000 0.0000 0.0000
Li2 0.5000 0.5000 0.5000
Si1 0.0000 0.0000 0.3763
Si2 0.0000 0.0000 0.6237
Si3 0.5000 0.5000 0.1237
Si4 0.5000 0.5000 0.8763
Ru1 0.0000 0.5000 0.2500
Ru2 0.0000 0.5000 0.7500
Ru3 0.5000 0.0000 0.2500
Ru4 0.5000 0.0000 0.7500

# 6
This record from the Alexandria database describes Li2SiRu2 after structural relaxation. The functional is GGA-PBE.

Results
Theoretical density: 5.203 g cm⁻³
VASP energy: -5.60 eV per atom

Cell lengths 5.9907, 5.9907, 4.3415 Å; angles 90.00, 90.00, 90.00 degrees
Atoms (fractional coordinates):
Li1 0.1652 0.3348 0.0000
Li2 0.3348 0.8348 0.0000
Li3 0.6652 0.1652 0.0000
Li4 0.8348 0.6652 0.0000
Si1 0.0000 0.0000 0.5000
Si2 0.5000 0.5000 0.5000
Ru1 0.1410 0.6410 0.5000
Ru2 0.3590 0.1410 0.5000
Ru3 0.6410 0.8590 0.5000
Ru4 0.8590 0.3590 0.5000

# 7
This record from the Alexandria database describes LiSiSn2Ru after structural relaxation. The functional is GGA-PBE.

Results
Theoretical density: 5.097 g cm⁻³
VASP energy: -4.42 eV per atom

Cell lengths 5.2121, 5.2121, 4.4795 Å; angles 90.00, 90.00, 90.00 degrees
Atoms (fractional coordinates):
Li1 0.0000 0.0000 0.0000
Si1 0.5000 0.5000 0.5000
Sn1 0.0000 0.5000 0.5000
Sn2 0.5000 0.0000 0.5000
Ru1 0.5000 0.5000 0.0000

# 8
This record from the Alexandria database describes LiTaSiRu after structural relaxation. The functional is GGA-PBE.

Results
Theoretical density: 9.528 g cm⁻³
VASP energy: -7.62 eV per atom

Cell lengths 6.0461, 6.0461, 6.0461 Å; angles 90.00, 90.00, 90.00 degrees
Atoms (fractional coordinates):
Li1 0.0000 0.0000 0.0000
Li2 0.0000 0.5000 0.5000
Li3 0.5000 0.0000 0.5000
Li4 0.5000 0.5000 0.0000
Ta1 0.2500 0.2500 0.2500
Ta2 0.2500 0.7500 0.7500
Ta3 0.7500 0.2500 0.7500
Ta4 0.7500 0.7500 0.2500
Si1 0.2500 0.2500 0.7500
Si2 0.2500 0.7500 0.2500
Si3 0.7500 0.2500 0.2500
Si4 0.7500 0.7500 0.7500
Ru1 0.0000 0.0000 0.5000
Ru2 0.0000 0.5000 0.0000
Ru3 0.5000 0.0000 0.0000
Ru4 0.5000 0.5000 0.5000

Which value of theoretical density does entry 2 give?
3.767 g cm⁻³

The lowest theoretical density belongs to which entry?
Li2Si2Ru